[1]
Material: Zn2AgSb2
Method: DFT, PBE
State: relaxed

Values from the calculation:
The raw formation energy is 298 meV/atom. For the mass density, the calculation gives 6.7 g/cm³.

a b c (Å): 6.7652 6.7652 6.7652
angles (deg): 141.42 141.42 55.71
Fractional positions:
Zn (0.0987, 0.0987, 0.0000)
Zn (0.9013, 0.9013, 0.0000)
Ag (0.5000, 0.5000, 0.0000)
Sb (0.2500, 0.7500, 0.5000)
Sb (0.7500, 0.2500, 0.5000)

=====

[2]
Material: ZnAg14Sb
Method: DFT, PBE
State: relaxed

Values from the calculation:
The raw formation energy is 36 meV/atom. For the mass density, the calculation gives 9.7 g/cm³.

a b c (Å): 9.5187 5.9530 5.9530
angles (deg): 59.78 90.00 90.00
Fractional positions:
Zn (0.0000, 0.0000, 0.0000)
Ag (0.0000, 0.5000, 0.9974)
Ag (0.0000, 0.9974, 0.5000)
Ag (0.2479, 0.1612, 0.1612)
Ag (0.2517, 0.1572, 0.6670)
Ag (0.2517, 0.6670, 0.1572)
Ag (0.2554, 0.6650, 0.6650)
Ag (0.5000, 0.3277, 0.8299)
Ag (0.5000, 0.3291, 0.3291)
Ag (0.5000, 0.8299, 0.3277)
Ag (0.5000, 0.8297, 0.8297)
Ag (0.7446, 0.6650, 0.6650)
Ag (0.7483, 0.1572, 0.6670)
Ag (0.7483, 0.6670, 0.1572)
Ag (0.7521, 0.1612, 0.1612)
Sb (0.0000, 0.4993, 0.4993)

=====

[3]
Material: ZnAgSb3
Method: DFT, PBE
State: relaxed

Values from the calculation:
The raw formation energy is 765 meV/atom. For the mass density, the calculation gives 5.7 g/cm³.

a b c (Å): 5.3848 5.3848 5.3848
angles (deg): 90.00 90.00 90.00
Fractional positions:
Zn (0.0000, 0.0000, 0.0000)
Ag (0.5000, 0.5000, 0.5000)
Sb (0.0000, 0.5000, 0.5000)
Sb (0.5000, 0.0000, 0.5000)
Sb (0.5000, 0.5000, 0.0000)

=====

[4]
Material: ZnAg6Sb
Method: DFT, PBE
State: relaxed

Values from the calculation:
The raw formation energy is 73 meV/atom. For the mass density, the calculation gives 9.0 g/cm³.

a b c (Å): 5.3195 5.3302 5.4588
angles (deg): 92.96 94.27 94.27
Fractional positions:
Zn (0.0000, 0.0000, 0.0000)
Ag (0.0338, 0.4387, 0.7533)
Ag (0.2476, 0.9614, 0.5741)
Ag (0.4364, 0.7507, 0.0382)
Ag (0.5636, 0.2493, 0.9618)
Ag (0.7524, 0.0386, 0.4259)
Ag (0.9662, 0.5613, 0.2467)
Sb (0.5000, 0.5000, 0.5000)